# Ni2Ir7Rh2

A relaxed Ni2Ir7Rh2 crystal (GGA-PBE, Alexandria via LeMat-Bulk).

Cell lengths 5.017, 5.017, 6.345 Å; angles 97.19, 97.19, 90.99 degrees
Fractional positions:
Ni (0.192, 0.808, 0.000)
Ni (0.808, 0.192, 0.000)
Ir (0.035, 0.415, 0.699)
Ir (0.331, 0.331, 0.065)
Ir (0.415, 0.035, 0.699)
Ir (0.500, 0.500, 0.500)
Ir (0.585, 0.965, 0.301)
Ir (0.669, 0.669, 0.935)
Ir (0.965, 0.585, 0.301)
Rh (0.101, 0.101, 0.348)
Rh (0.899, 0.899, 0.652)

ΔE to the lowest computed polymorph in meV per atom: 0
Energy relative to the elements in meV/atom: 220
Density of states at the Fermi level in states/eV per atom: 1.382



# Er5TmN6

A relaxed Er5TmN6 crystal (GGA-PBE, Alexandria via LeMat-Bulk).

Cell lengths 5.930, 5.930, 5.930 Å; angles 99.59, 99.59, 120.01 degrees
Fractional positions:
Er (0.000, 0.000, 0.000)
Er (0.167, 0.833, 0.500)
Er (0.333, 0.667, 0.000)
Er (0.667, 0.333, 0.000)
Er (0.833, 0.167, 0.500)
Tm (0.500, 0.500, 0.500)
N (0.084, 0.417, 0.250)
N (0.251, 0.251, 0.749)
N (0.417, 0.084, 0.250)
N (0.583, 0.916, 0.750)
N (0.749, 0.749, 0.251)
N (0.916, 0.583, 0.750)

Energy in eV/cell: -98.7
Density of states at the Fermi level in states/eV per atom: 0.024



# HfIn3Pd12

A relaxed HfIn3Pd12 crystal (GGA-PBE, Alexandria via LeMat-Bulk).

Cell lengths 4.030, 4.030, 16.152 Å; angles 90.00, 90.00, 90.00 degrees
Fractional positions:
Hf (0.000, 0.000, 0.000)
In (0.000, 0.000, 0.251)
In (0.000, 0.000, 0.500)
In (0.000, 0.000, 0.749)
Pd (0.000, 0.500, 0.121)
Pd (0.000, 0.500, 0.374)
Pd (0.000, 0.500, 0.626)
Pd (0.000, 0.500, 0.879)
Pd (0.500, 0.000, 0.121)
Pd (0.500, 0.000, 0.374)
Pd (0.500, 0.000, 0.626)
Pd (0.500, 0.000, 0.879)
Pd (0.500, 0.500, 0.000)
Pd (0.500, 0.500, 0.247)
Pd (0.500, 0.500, 0.500)
Pd (0.500, 0.500, 0.753)

Energy relative to the elements in meV/atom: -559
Density of states at the Fermi level in states/eV per atom: 0.842



# La3DyEr4

A relaxed La3DyEr4 crystal (GGA-PBE, Alexandria via LeMat-Bulk).

Cell lengths 11.540, 7.326, 6.312 Å; angles 90.00, 90.00, 90.00 degrees
Fractional positions:
La (0.000, 0.129, 0.000)
La (0.249, 0.875, 0.833)
La (0.251, 0.125, 0.333)
La (0.500, 0.871, 0.500)
La (0.749, 0.125, 0.333)
La (0.751, 0.875, 0.833)
Dy (0.000, 0.867, 0.496)
Dy (0.500, 0.133, 0.996)
Er (0.000, 0.379, 0.498)
Er (0.000, 0.620, 0.000)
Er (0.248, 0.620, 0.333)
Er (0.252, 0.380, 0.833)
Er (0.500, 0.380, 0.500)
Er (0.500, 0.621, 0.998)
Er (0.748, 0.380, 0.833)
Er (0.752, 0.620, 0.333)

ΔE to the lowest computed polymorph in meV per atom: 0
Energy relative to the elements in meV/atom: 32
Density of states at the Fermi level in states/eV per atom: 1.815



# BaSr2Be

A relaxed BaSr2Be crystal (GGA-PBE, Alexandria via LeMat-Bulk).

Cell lengths 4.898, 5.704, 5.833 Å; angles 90.00, 90.00, 90.00 degrees
Fractional positions:
Ba (0.000, 0.000, 0.000)
Sr (0.000, 0.500, 0.500)
Sr (0.500, 0.000, 0.500)
Be (0.500, 0.500, 0.000)

Energy relative to the elements in meV/atom: 508
Density of states at the Fermi level in states/eV per atom: 1.720



# Nb3GaFe

A relaxed Nb3GaFe crystal (GGA-PBE, Alexandria via LeMat-Bulk).

Cell lengths 4.583, 4.583, 4.583 Å; angles 90.00, 90.00, 90.00 degrees
Fractional positions:
Nb (0.000, 0.000, 0.500)
Nb (0.000, 0.500, 0.000)
Nb (0.500, 0.000, 0.000)
Ga (0.500, 0.500, 0.500)
Fe (0.000, 0.000, 0.000)

ΔE to the lowest computed polymorph in meV per atom: 0
Energy relative to the elements in meV/atom: 552
Density of states at the Fermi level in states/eV per atom: 0.869



Record-wise mass density values, in g/cm³: 17.6; 10.6; 11.4; 7.8; 3.3; 7.0